Record 1
Computed, not measured: crystalline TiNbTcOs at its relaxed geometry at the PBE level of DFT.

Output
- Energy of formation from the pure elements: -0.513 eV/atom
- ΔE to the lowest computed polymorph: 0.000 eV/atom

Unit cell a=6.2919 b=6.2919 c=6.2919 alpha=90.00 beta=90.00 gamma=90.00
Space group F-43m (No. 216)
Asymmetric unit:
Ti1 0.0000 0.0000 0.0000 x4
Nb1 0.0000 0.0000 0.5000 x4
Tc1 0.2500 0.2500 0.7500 x4
Os1 0.2500 0.2500 0.2500 x4


Record 2
Computed, not measured: crystalline UNbTcOs at its relaxed geometry at the PBE level of DFT.

Output
- Energy of formation from the pure elements: -0.031 eV/atom

Unit cell a=6.5778 b=6.5778 c=6.5778 alpha=90.00 beta=90.00 gamma=90.00
Space group F-43m (No. 216)
Asymmetric unit:
U1 0.0000 0.0000 0.0000 x4
Nb1 0.0000 0.0000 0.5000 x4
Tc1 0.2500 0.2500 0.7500 x4
Os1 0.2500 0.2500 0.2500 x4


Number 1: spin magnetization 0.000 μB/atom. Number 2: spin magnetization 0.437 μB/atom.